Material: TcPtS2N
Method: DFT, PBE-GGA
State: optimized geometry

```
data_TcPtS2N
_space_group_name_H-M_alt 'P 1'
_space_group_IT_number 1
_cell_length_a 4.951
_cell_length_b 4.951
_cell_length_c 3.668
_cell_angle_alpha 90.00
_cell_angle_beta 90.00
_cell_angle_gamma 90.00
loop_
_space_group_symop_operation_xyz
'x,y,z'
loop_
_atom_site_label
_atom_site_fract_x
_atom_site_fract_y
_atom_site_fract_z
_atom_site_occupancy
S1 0.000 0.500 0.000 1
S2 0.500 0.000 0.000 1
Tc1 0.500 0.500 0.500 1
Pt1 0.000 0.000 0.000 1
N1 0.000 0.000 0.500 1
```

## Properties
Energy above the most stable polymorph in this dataset (eV/f.u.): 2.160
Space group: P4/mmm
Formation energy (no corrections) (kJ per mole of atoms): 105.6